The following is a PBE+U calculation of CoSe2BrF after structural relaxation, from Alexandria.

The space group is P4/mmm (No. 123) and the conventional cell measures 4.6862, 4.6862 and 4.9233 Å, with angles of 90.00, 90.00 and 90.00 degrees. Symmetry generates all atoms from Co at (0.0000, 0.0000, 0.0000), Se at (0.0000, 0.5000, 0.0000), Br at (0.0000, 0.0000, 0.5000) and F at (0.5000, 0.5000, 0.5000).

As for the crystal system: tetragonal. For the excess energy over the best structure of this formula in the dataset, the calculation gives 0.0000 eV per atom.